# PmSnPt2

PmSnPt2 after structural relaxation (PBE, Alexandria via LeMat-Bulk).

Output
For the formation energy from the elements, the calculation gives -0.78 eV per atom. Its symmetry is P4/mmm, No. 123. Its crystal system is tetragonal.

Lattice parameters (Å, degrees): 3.7542 4.7150 4.7150 90.00 90.00 90.00
Sites, in units of the cell vectors:
Pt 0.0000 0.0000 0.5000
Pt 0.0000 0.5000 0.0000
Pm 0.5000 0.0000 0.0000
Sn 0.5000 0.5000 0.5000